## KSb2Te (PBE)

Data for a geometry-optimized KSb2Te structure.

Unit cell a=5.884 b=7.086 c=3.331 alpha=76.27 beta=90.31 gamma=114.61
Positions (direct):
K1 0.500 0.500 0.000
Sb1 0.000 0.000 0.000
Sb2 0.500 0.000 0.500
Te1 0.000 0.500 0.500

Calculated values
Theoretical density, g cm⁻³: 5.6
Energy relative to the elements, uncorrected, eV per atom: -0.07
N(E_F), states/eV per cell: 2.65
M_tot, μB per atom: 0.00
Calculated volume, Å³ per cell: 121.98
SG: C2/m, No. 12


## Ir3Pt5 (PBE)

Data for a geometry-optimized Ir3Pt5 structure.

Unit cell a=7.703 b=7.704 c=4.975 alpha=90.00 beta=90.00 gamma=120.00
Positions (direct):
Ir1 0.000 0.403 0.750
Ir2 0.000 0.597 0.250
Ir3 0.403 0.000 0.750
Ir4 0.403 0.403 0.250
Ir5 0.597 0.000 0.250
Ir6 0.597 0.597 0.750
Pt1 0.000 0.217 0.250
Pt2 0.000 0.783 0.750
Pt3 0.217 0.000 0.250
Pt4 0.217 0.217 0.750
Pt5 0.333 0.667 0.000
Pt6 0.333 0.667 0.500
Pt7 0.667 0.333 0.000
Pt8 0.667 0.333 0.500
Pt9 0.783 0.000 0.750
Pt10 0.783 0.783 0.250

Calculated values
Theoretical density, g cm⁻³: 20.2
Relative energy among the computed polymorphs, eV/f.u.: 0.55
Energy relative to the elements, eV/atom: 0.33
N(E_F), states/eV per cell: 19.19
M_tot, μB per atom: 0.00
Calculated volume, Å³ per cell: 255.66
SG: P6_3/mcm, No. 193


## NbRuPt2O (PBE)

Data for a geometry-optimized NbRuPt2O structure.

Unit cell a=5.016 b=3.521 c=5.016 alpha=90.00 beta=90.00 gamma=90.00
Positions (direct):
Ru1 0.000 0.000 0.000
Nb1 0.500 0.500 0.500
O1 0.000 0.500 0.000
Pt1 0.000 0.000 0.500
Pt2 0.500 0.000 0.000

Calculated values
Theoretical density, g cm⁻³: 11.2
Energy relative to the elements, uncorrected, eV per atom: 0.44
N(E_F), states/eV per cell: 6.50
M_tot, μB per atom: 0.00
Calculated volume, Å³ per cell: 88.60
SG: P4/mmm, No. 123


## BaCa2InPt (PBE)

Data for a geometry-optimized BaCa2InPt structure.

Unit cell a=5.628 b=5.628 c=5.355 alpha=90.00 beta=90.00 gamma=90.00
Positions (direct):
Ca1 0.000 0.500 0.000
Ca2 0.500 0.000 0.000
Ba1 0.500 0.500 0.500
Pt1 0.000 0.000 0.000
In1 0.000 0.000 0.500

Calculated values
Theoretical density, g cm⁻³: 5.2
Relative energy among the computed polymorphs, eV/f.u.: 0.00
Energy relative to the elements, eV/atom: -0.49
N(E_F), states/eV per cell: 3.81
M_tot, μB per atom: 0.00
Calculated volume, Å³ per cell: 169.60
SG: P4/mmm, No. 123


## NaLiTeCl2 (PBE)

Data for a geometry-optimized NaLiTeCl2 structure.

Unit cell a=6.033 b=5.455 c=6.033 alpha=90.00 beta=90.00 gamma=90.00
Positions (direct):
Na1 0.000 0.500 0.000
Te1 0.000 0.000 0.000
Li1 0.500 0.500 0.500
Cl1 0.000 0.000 0.500
Cl2 0.500 0.000 0.000

Calculated values
Theoretical density, g cm⁻³: 1.9
Energy relative to the elements, uncorrected, eV per atom: -0.40
N(E_F), states/eV per cell: 1.47
M_tot, μB per atom: 0.00
Calculated volume, Å³ per cell: 198.54
SG: P4/mmm, No. 123


## KCdIn2H (PBE)

Data for a geometry-optimized KCdIn2H structure.

Unit cell a=6.147 b=3.786 c=6.147 alpha=90.00 beta=90.00 gamma=90.00
Positions (direct):
H1 0.000 0.500 0.000
K1 0.500 0.500 0.500
Cd1 0.000 0.000 0.000
In1 0.000 0.000 0.500
In2 0.500 0.000 0.000

Calculated values
Theoretical density, g cm⁻³: 4.4
N(E_F), states/eV per cell: 3.26
M_tot, μB per atom: 0.00
Calculated volume, Å³ per cell: 143.04
Calculated total energy, eV per atom: -1.907
SG: P4/mmm, No. 123


## KInIr3 (PBE)

Data for a geometry-optimized KInIr3 structure.

Unit cell a=5.034 b=5.034 c=5.034 alpha=90.00 beta=90.00 gamma=90.00
Each line ends with the local moment (μB).
Positions (direct):
K1 0.500 0.500 0.500  0.00
Ir1 0.000 0.500 0.000  0.91
Ir2 0.000 0.000 0.500  0.92
Ir3 0.500 0.000 0.000  0.68
In1 0.000 0.000 0.000  -0.03

Calculated values
Theoretical density, g cm⁻³: 9.5
Relative energy among the computed polymorphs, eV/f.u.: 0.00
Energy relative to the elements, eV/atom: 1.72
N(E_F), states/eV per cell: 8.68
M_tot, μB per atom: 0.51
Calculated volume, Å³ per cell: 127.58
SG: Pm-3m, No. 221


## LiAlSi3O8 (PBE)

Data for a geometry-optimized LiAlSi3O8 structure.

Unit cell a=8.827 b=7.797 c=7.495 alpha=118.75 beta=91.70 gamma=123.95
Positions (direct):
Li1 0.852 0.134 0.372
Li2 0.148 0.866 0.628
Al1 0.993 0.579 0.876
Al2 0.007 0.421 0.124
Si1 0.702 0.454 0.534
Si2 0.298 0.546 0.466
Si3 0.761 0.597 0.216
Si4 0.239 0.403 0.784
Si5 0.360 0.180 0.137
Si6 0.640 0.820 0.863
O1 0.789 0.836 0.278
O2 0.211 0.164 0.722
O3 0.723 0.664 0.768
O4 0.277 0.336 0.232
O5 0.096 0.444 0.916
O6 0.904 0.556 0.084
O7 0.836 0.598 0.428
O8 0.164 0.402 0.572
O9 0.824 0.121 0.067
O10 0.176 0.879 0.933
O11 0.193 0.635 0.395
O12 0.807 0.365 0.605
O13 0.467 0.690 0.945
O14 0.533 0.310 0.055
O15 0.531 0.785 0.650
O16 0.469 0.215 0.350

Calculated values
Theoretical density, g cm⁻³: 2.4
Relative energy among the computed polymorphs, eV/f.u.: 0.00
Energy relative to the elements, uncorrected, eV per atom: -2.70
N(E_F), states/eV per cell: 0.00
M_tot, μB per atom: 0.00
Calculated volume, Å³ per cell: 342.18
SG: P-1, No. 2